1.
# YOsBr2 GGA-PBEsol relaxed
# E above lowest polymorph, meV/atom: 112
# Formation energy from raw total energies, eV/atom: -0.07
data_YOsBr2
_chemical_formula_sum 'Y1 Os1 Br2'
_space_group_name_H-M_alt 'P m m 2'
_space_group_IT_number 25
_cell_length_a 3.5828
_cell_length_b 3.8472
_cell_length_c 6.8039
_cell_angle_alpha 90.00
_cell_angle_beta 90.00
_cell_angle_gamma 90.00
loop_
_space_group_symop_operation_xyz
'x,y,z'
'-x,-y,z'
'-x,y,z'
'x,-y,z'
loop_
_atom_site_label
_atom_site_fract_x
_atom_site_fract_y
_atom_site_fract_z
Y1 0.0000 0.0000 0.0000
Os1 0.5000 0.5000 0.8365
Br1 0.0000 0.0000 0.5843
Br2 0.5000 0.5000 0.2039

2.
# Y4OsBr4 GGA-PBEsol relaxed
# Formation energy from raw total energies, eV/atom: -1.30
data_Y4OsBr4
_chemical_formula_sum 'Y16 Os4 Br16'
_space_group_name_H-M_alt 'C 1 2/c 1'
_space_group_IT_number 15
_cell_length_a 12.4896
_cell_length_b 12.3277
_cell_length_c 6.4668
_cell_angle_alpha 90.00
_cell_angle_beta 90.80
_cell_angle_gamma 90.00
loop_
_space_group_symop_operation_xyz
'x,y,z'
'-x,-y,-z'
'-x,y,-z+1/2'
'x,-y,z+1/2'
'x+1/2,y+1/2,z'
'-x+1/2,-y+1/2,-z'
'-x+1/2,y+1/2,-z+1/2'
'x+1/2,-y+1/2,z+1/2'
loop_
_atom_site_label
_atom_site_fract_x
_atom_site_fract_y
_atom_site_fract_z
Y1 0.0764 0.1765 0.4904
Y2 0.1746 0.0768 0.0086
Os1 0.0000 0.0048 0.7500
Br1 0.1181 0.3036 0.0935
Br2 0.1963 0.3875 0.5953

3.
# ZnOsBr GGA-PBEsol relaxed
# Formation energy from raw total energies, eV/atom: 0.80
data_ZnOsBr
_chemical_formula_sum 'Zn4 Os4 Br4'
_space_group_name_H-M_alt 'F m m 2'
_space_group_IT_number 42
_space_group_name_Hall 'F 2 -2'
_cell_length_a 2.8666
_cell_length_b 5.3005
_cell_length_c 13.3632
_cell_angle_alpha 90.00
_cell_angle_beta 90.00
_cell_angle_gamma 90.00
loop_
_atom_site_label
_atom_site_fract_x
_atom_site_fract_y
_atom_site_fract_z
Zn1 0.0000 0.0000 0.0000
Os1 0.0000 0.0000 0.3446
Br1 0.0000 0.0000 0.6881

4.
# ZnOs2Br GGA-PBEsol relaxed
# E above lowest polymorph, meV/atom: 399
# Formation energy from raw total energies, eV/atom: 0.88
data_ZnOs2Br
_chemical_formula_sum 'Zn2 Os4 Br2'
_space_group_name_H-M_alt 'C 1 2/m 1'
_space_group_IT_number 12
_cell_length_a 8.7184
_cell_length_b 2.8647
_cell_length_c 4.9054
_cell_angle_alpha 90.00
_cell_angle_beta 102.28
_cell_angle_gamma 90.00
loop_
_space_group_symop_operation_xyz
'x,y,z'
'-x,-y,-z'
'-x,y,-z'
'x,-y,z'
'x+1/2,y+1/2,z'
'-x+1/2,-y+1/2,-z'
'-x+1/2,y+1/2,-z'
'x+1/2,-y+1/2,z'
loop_
_atom_site_label
_atom_site_fract_x
_atom_site_fract_y
_atom_site_fract_z
Zn1 0.0000 0.0000 0.0000
Os1 0.2438 0.5000 0.2279
Br1 0.0000 0.5000 0.5000

5.
# Zn2OsBr GGA-PBEsol relaxed
# E above lowest polymorph, meV/atom: 0
# Formation energy from raw total energies, eV/atom: 0.59
data_Zn2OsBr
_chemical_formula_sum 'Zn6 Os3 Br3'
_space_group_name_H-M_alt 'R 3 m'
_space_group_IT_number 160
_space_group_name_Hall 'R 3 -2"'
_cell_length_a 2.8971
_cell_length_b 2.8971
_cell_length_c 27.0829
_cell_angle_alpha 90.00
_cell_angle_beta 90.00
_cell_angle_gamma 120.00
loop_
_atom_site_label
_atom_site_fract_x
_atom_site_fract_y
_atom_site_fract_z
Zn1 0.0000 0.0000 0.0000
Zn2 0.0000 0.0000 0.2544
Os1 0.0000 0.0000 0.7419
Br1 0.0000 0.0000 0.4832

6.
# ZnOs2Br GGA-PBEsol relaxed
# E above lowest polymorph, meV/atom: 487
# Formation energy from raw total energies, eV/atom: 0.97
data_ZnOs2Br
_chemical_formula_sum 'Zn1 Os2 Br1'
_space_group_name_H-M_alt 'P 1 2/m 1'
_space_group_IT_number 10
_cell_length_a 2.8612
_cell_length_b 4.3565
_cell_length_c 5.1760
_cell_angle_alpha 90.00
_cell_angle_beta 100.12
_cell_angle_gamma 90.00
loop_
_space_group_symop_operation_xyz
'x,y,z'
'-x,-y,-z'
'-x,y,-z'
'x,-y,z'
loop_
_atom_site_label
_atom_site_fract_x
_atom_site_fract_y
_atom_site_fract_z
Zn1 0.0000 0.0000 0.0000
Os1 0.3456 0.5000 0.2138
Br1 0.5000 0.0000 0.5000

7.
# ZnOs2Br GGA-PBEsol relaxed
# E above lowest polymorph, meV/atom: 498
# Formation energy from raw total energies, eV/atom: 0.98
data_ZnOs2Br
_chemical_formula_sum 'Zn2 Os4 Br2'
_space_group_name_H-M_alt 'C m m m'
_space_group_IT_number 65
_space_group_name_Hall '-C 2 2'
_cell_length_a 2.7666
_cell_length_b 4.8756
_cell_length_c 9.0453
_cell_angle_alpha 90.00
_cell_angle_beta 90.00
_cell_angle_gamma 90.00
loop_
_atom_site_label
_atom_site_fract_x
_atom_site_fract_y
_atom_site_fract_z
Zn1 0.0000 0.0000 0.0000
Os1 0.0000 0.5000 0.2391
Br1 0.0000 0.0000 0.5000

8.
# Zn2OsBr GGA-PBEsol relaxed
# E above lowest polymorph, meV/atom: 396
# Formation energy from raw total energies, eV/atom: 0.98
data_Zn2OsBr
_chemical_formula_sum 'Zn8 Os4 Br4'
_space_group_name_H-M_alt 'F m -3 m'
_space_group_IT_number 225
_space_group_name_Hall '-F 4 2 3'
_cell_length_a 6.3280
_cell_length_b 6.3280
_cell_length_c 6.3280
_cell_angle_alpha 90.00
_cell_angle_beta 90.00
_cell_angle_gamma 90.00
loop_
_atom_site_label
_atom_site_fract_x
_atom_site_fract_y
_atom_site_fract_z
Zn1 0.2500 0.2500 0.2500
Os1 0.0000 0.0000 0.0000
Br1 0.0000 0.0000 0.5000

9.
# ZnOs2Br GGA-PBEsol relaxed
# E above lowest polymorph, meV/atom: 0
# Formation energy from raw total energies, eV/atom: 0.48
data_ZnOs2Br
_chemical_formula_sum 'Zn1 Os2 Br1'
_space_group_name_H-M_alt 'P 4 m m'
_space_group_IT_number 99
_cell_length_a 2.8878
_cell_length_b 2.8878
_cell_length_c 7.8677
_cell_angle_alpha 90.00
_cell_angle_beta 90.00
_cell_angle_gamma 90.00
loop_
_space_group_symop_operation_xyz
'x,y,z'
'-y,x,z'
'-x,-y,z'
'y,-x,z'
'-x,y,z'
'y,x,z'
'x,-y,z'
'-y,-x,z'
loop_
_atom_site_label
_atom_site_fract_x
_atom_site_fract_y
_atom_site_fract_z
Zn1 0.0000 0.0000 0.0000
Os1 0.0000 0.0000 0.5785
Os2 0.5000 0.5000 0.7837
Br1 0.5000 0.5000 0.3341

10.
# P3Br GGA-PBEsol relaxed
# E above lowest polymorph, meV/atom: 1731
# Formation energy from raw total energies, eV/atom: 2.04
data_P3Br
_chemical_formula_sum 'P3 Br1'
_space_group_name_H-M_alt 'P m -3 m'
_space_group_IT_number 221
_space_group_name_Hall '-P 4 2 3'
_cell_length_a 4.8657
_cell_length_b 4.8657
_cell_length_c 4.8657
_cell_angle_alpha 90.00
_cell_angle_beta 90.00
_cell_angle_gamma 90.00
loop_
_atom_site_label
_atom_site_fract_x
_atom_site_fract_y
_atom_site_fract_z
P1 0.0000 0.0000 0.5000
Br1 0.0000 0.0000 0.0000

11.
# P3Br GGA-PBEsol relaxed
# E above lowest polymorph, meV/atom: 0
# Formation energy from raw total energies, eV/atom: 0.31
data_P3Br
_chemical_formula_sum 'P12 Br4'
_space_group_name_H-M_alt 'C m c m'
_space_group_IT_number 63
_space_group_name_Hall '-C 2c 2'
_cell_length_a 7.5017
_cell_length_b 16.8284
_cell_length_c 3.0183
_cell_angle_alpha 90.00
_cell_angle_beta 90.00
_cell_angle_gamma 90.00
loop_
_atom_site_label
_atom_site_fract_x
_atom_site_fract_y
_atom_site_fract_z
P1 0.0000 0.1117 0.2500
P2 0.1461 0.1945 0.7500
Br1 0.0000 0.3855 0.2500

12.
# PBr3 GGA-PBEsol relaxed
# Formation energy from raw total energies, eV/atom: -0.31
data_PBr3
_chemical_formula_sum 'P4 Br12'
_space_group_name_H-M_alt 'P n m a'
_space_group_IT_number 62
_cell_length_a 8.2478
_cell_length_b 9.8276
_cell_length_c 6.5293
_cell_angle_alpha 90.00
_cell_angle_beta 90.00
_cell_angle_gamma 90.00
loop_
_space_group_symop_operation_xyz
'x,y,z'
'-x,-y,-z'
'-x+1/2,-y,z+1/2'
'x+1/2,y,-z+1/2'
'x+1/2,-y+1/2,-z+1/2'
'-x+1/2,y+1/2,z+1/2'
'-x,y+1/2,-z'
'x,-y+1/2,z'
loop_
_atom_site_label
_atom_site_fract_x
_atom_site_fract_y
_atom_site_fract_z
P1 0.0325 0.2500 0.0352
Br1 0.1248 0.2500 0.7120
Br2 0.1717 0.0758 0.1703